## TiGaPt5 (GGA-PBE)

Data for a relaxed structure of TiGaPt5.

Geometry as POSCAR:
```
TiGaPt5
1.0
3.9671 0.0000 0.0000
0.0000 3.9671 0.0000
0.0000 0.0000 7.1569
Ti Ga Pt
1 1 5
Cartesian
0.0000 0.0000 0.0000
1.9835 1.9835 3.5784
0.0000 1.9835 1.9365
0.0000 1.9835 5.2203
1.9835 0.0000 1.9365
1.9835 0.0000 5.2203
1.9835 1.9835 0.0000
```

Summary:
Its volume is 112.6 Å³/cell. The value obtained for the density is 16.1 Mg/m³. The energy above the most stable polymorph in this dataset comes out at 0 meV/atom. The raw total energy comes out at -6.618 eV per atom. As for the formation energy: -0.743 eV per atom. As for the density of states at the Fermi level: 0.51 states/eV per atom.

=====

## TiGaPt6 (GGA-PBE)

Data for a relaxed structure of TiGaPt6.

Geometry as POSCAR:
```
TiGaPt6
1.0
8.0778 0.0000 0.0000
0.0000 11.1257 0.0000
0.0000 0.0000 2.8071
Ti Ga Pt
2 2 12
Cartesian
0.0000 0.0000 0.0000
4.0389 5.5628 0.0000
0.0000 5.5628 1.4035
4.0389 0.0000 1.4035
0.0000 2.2825 1.4035
0.0000 8.8432 1.4035
1.7411 4.1591 0.0000
1.7411 6.9666 0.0000
2.2978 1.4038 0.0000
2.2978 9.7219 0.0000
4.0389 3.2803 1.4035
4.0389 7.8453 1.4035
5.7800 1.4038 0.0000
5.7800 9.7219 0.0000
6.3367 4.1591 0.0000
6.3367 6.9666 0.0000
```

Summary:
Its volume is 252.3 Å³/cell. The value obtained for the density is 17.0 Mg/m³. The energy above the most stable polymorph in this dataset comes out at 211 meV/atom. The raw total energy comes out at -6.380 eV per atom. As for the formation energy: -0.484 eV per atom. As for the density of states at the Fermi level: 0.50 states/eV per atom.

=====

## Ti6GaPt12 (GGA-PBE)

Data for a relaxed structure of Ti6GaPt12.

Geometry as POSCAR:
```
Ti6GaPt12
1.0
6.1188 3.5327 2.2843
-6.1188 3.5327 2.2843
0.0000 -7.0654 2.2843
Ti Ga Pt
6 1 12
Cartesian
-1.7908 -2.5905 2.3726
-1.3481 2.8462 2.3726
-3.1389 0.2556 4.4803
3.1389 -0.2556 2.3726
1.3480 -2.8462 4.4803
1.7908 2.5905 4.4803
0.0000 0.0000 0.0000
-3.8261 1.8138 2.3274
0.3422 -4.2204 2.3274
-1.6628 0.0708 2.3108
-3.4839 -2.4066 4.5255
0.7701 -1.4754 2.3108
0.8927 1.4046 2.3108
-0.8927 -1.4046 4.5422
-0.7701 1.4754 4.5422
3.4839 2.4066 2.3274
1.6628 -0.0708 4.5422
-0.3422 4.2204 4.5255
3.8261 -1.8138 4.5255
```

Summary:
Its volume is 296.3 Å³/cell. The value obtained for the density is 15.1 Mg/m³. The raw total energy comes out at -7.276 eV per atom. As for the formation energy: -0.809 eV per atom. As for the density of states at the Fermi level: 0.60 states/eV per atom.

=====

## Ti4Ga2Pt (GGA-PBE)

Data for a relaxed structure of Ti4Ga2Pt.

Geometry as POSCAR:
```
Ti4Ga2Pt
1.0
2.0809 1.2014 8.6757
-2.0809 1.2014 8.6757
0.0000 -2.4028 8.6757
Ti Ga Pt
4 2 1
Cartesian
0.0000 0.0000 3.1428
0.0000 0.0000 7.8204
0.0000 0.0000 18.2065
0.0000 0.0000 22.8842
0.0000 0.0000 10.4970
0.0000 0.0000 15.5300
0.0000 0.0000 13.0135
```

Summary:
Its volume is 130.1 Å³/cell. The value obtained for the density is 6.7 Mg/m³. The energy above the most stable polymorph in this dataset comes out at 0 meV/atom. The raw total energy comes out at -6.393 eV per atom. As for the formation energy: -0.154 eV per atom. As for the density of states at the Fermi level: 1.00 states/eV per atom.

=====

## TiGa3Pt (GGA-PBE)

Data for a relaxed structure of TiGa3Pt.

Geometry as POSCAR:
```
TiGa3Pt
1.0
4.7823 0.0000 0.0000
0.0000 4.7823 0.0000
0.0000 0.0000 4.7823
Ti Ga Pt
1 3 1
Cartesian
0.0000 0.0000 0.0000
0.0000 2.3912 2.3912
2.3912 0.0000 2.3912
2.3912 2.3912 0.0000
2.3912 2.3912 2.3912
```

Summary:
Its volume is 109.4 Å³/cell. The value obtained for the density is 6.9 Mg/m³. The energy above the most stable polymorph in this dataset comes out at 648 meV/atom. The raw total energy comes out at -4.358 eV per atom. As for the formation energy: 0.245 eV per atom. As for the density of states at the Fermi level: 1.28 states/eV per atom.

=====

## Ti3Ga4Pt2 (GGA-PBE)

Data for a relaxed structure of Ti3Ga4Pt2.

Geometry as POSCAR:
```
Ti3Ga4Pt2
1.0
4.7110 -2.1767 0.0000
4.7110 2.1767 0.0000
-4.2467 0.0000 6.9395
Ti Ga Pt
3 4 2
Cartesian
0.0000 0.0000 0.0000
1.7746 0.0000 2.2721
3.4006 0.0000 4.6674
-0.9848 0.0000 2.8920
-1.2692 0.0000 6.7372
6.4444 0.0000 0.2023
6.1600 0.0000 4.0475
0.5976 0.0000 5.0363
4.5776 0.0000 1.9032
```

Summary:
Its volume is 142.3 Å³/cell. The value obtained for the density is 9.5 Mg/m³. The raw total energy comes out at -6.007 eV per atom. As for the formation energy: -0.688 eV per atom. As for the density of states at the Fermi level: 0.55 states/eV per atom.

=====

## TiGaPt (GGA-PBE)

Data for a relaxed structure of TiGaPt.

Geometry as POSCAR:
```
TiGaPt
1.0
6.4777 0.0000 0.0000
0.0000 6.4777 0.0000
0.0000 0.0000 4.9874
Ti Ga Pt
4 4 4
Cartesian
0.0000 1.9388 0.0000
0.0000 4.5389 0.0000
1.9388 0.0000 2.4937
4.5389 0.0000 2.4937
0.0000 1.7219 2.4937
0.0000 4.7558 2.4937
1.7219 0.0000 0.0000
4.7558 0.0000 0.0000
1.9268 3.2388 2.4937
3.2388 1.9268 0.0000
3.2388 4.5509 0.0000
4.5509 3.2388 2.4937
```

Summary:
Its volume is 209.3 Å³/cell. The value obtained for the density is 9.9 Mg/m³. The raw total energy comes out at -5.612 eV per atom. As for the formation energy: 0.042 eV per atom. As for the density of states at the Fermi level: 1.08 states/eV per atom.

=====

## Ti3Ga2Pt (GGA-PBE)

Data for a relaxed structure of Ti3Ga2Pt.

Geometry as POSCAR:
```
Ti3Ga2Pt
1.0
2.8325 0.0000 0.0000
0.0000 2.8325 0.0000
0.0000 0.0000 11.7152
Ti Ga Pt
3 2 1
Cartesian
0.0000 0.0000 0.0000
0.0000 0.0000 3.9325
0.0000 0.0000 7.7827
1.4163 1.4163 1.9726
1.4163 1.4163 9.7426
1.4163 1.4163 5.8576
```

Summary:
Its volume is 94.0 Å³/cell. The value obtained for the density is 8.4 Mg/m³. The raw total energy comes out at -6.584 eV per atom. As for the formation energy: -0.621 eV per atom. As for the density of states at the Fermi level: 0.92 states/eV per atom.

=====

## Ti5GaPt (GGA-PBE)

Data for a relaxed structure of Ti5GaPt.

Geometry as POSCAR:
```
Ti5GaPt
1.0
3.5984 -3.6507 0.0000
3.5984 3.6507 0.0000
-1.7575 0.0000 9.0248
Ti Ga Pt
10 2 2
Cartesian
1.8475 2.1177 1.4736
2.2803 2.7073 6.7686
1.8266 0.9524 4.3428
4.4705 2.1177 3.0388
4.4914 0.9524 0.1696
0.9478 -0.9524 8.8552
0.9687 -2.1177 5.9860
3.6127 -0.9524 4.6820
3.1590 -2.7073 2.2562
3.5918 -2.1177 7.5512
2.2803 0.0732 6.7686
3.1590 -0.0732 2.2562
0.0000 0.0000 0.0000
-0.8788 0.0000 4.5124
```

Summary:
Its volume is 237.1 Å³/cell. The value obtained for the density is 7.1 Mg/m³. The raw total energy comes out at -7.238 eV per atom. As for the formation energy: -0.303 eV per atom. As for the density of states at the Fermi level: 1.17 states/eV per atom.

=====

## TiGaPt5 (GGA-PBE)

Data for a relaxed structure of TiGaPt5.

Geometry as POSCAR:
```
TiGaPt5
1.0
4.0033 -4.8475 0.0000
4.0033 4.8475 0.0000
-3.9116 0.0000 5.9387
Ti Ga Pt
2 2 10
Cartesian
1.0696 4.3365 4.4540
3.0254 -4.3365 1.4847
4.0033 0.0000 0.0000
2.0475 0.0000 2.9693
1.6023 3.2945 2.0845
1.7596 1.0185 0.6467
4.4486 3.2945 0.8848
1.0696 1.8215 4.4540
-0.1962 -1.0185 3.6160
4.2913 1.0185 2.3226
3.0254 -1.8215 1.4847
-0.3535 -3.2945 5.0539
2.3355 -1.0185 5.2919
2.4928 -3.2945 3.8541
```

Summary:
Its volume is 230.5 Å³/cell. The value obtained for the density is 15.7 Mg/m³. The energy above the most stable polymorph in this dataset comes out at 257 meV/atom. The raw total energy comes out at -6.361 eV per atom. As for the formation energy: -0.486 eV per atom. As for the density of states at the Fermi level: 0.42 states/eV per atom.

=====

## TiGaPt (GGA-PBE)

Data for a relaxed structure of TiGaPt.

Geometry as POSCAR:
```
TiGaPt
1.0
3.8412 0.0000 0.0000
0.0000 3.8412 0.0000
0.0000 0.0000 6.7199
Ti Ga Pt
2 2 2
Cartesian
0.9603 0.9603 0.9778
2.8809 2.8809 5.7422
0.9603 2.8809 3.3600
2.8809 0.9603 3.3600
0.9603 0.9603 5.2184
2.8809 2.8809 1.5015
```

Summary:
Its volume is 99.2 Å³/cell. The value obtained for the density is 10.5 Mg/m³. The raw total energy comes out at -6.329 eV per atom. As for the formation energy: -0.675 eV per atom. As for the density of states at the Fermi level: 0.63 states/eV per atom.

=====

## TiGaPt2 (GGA-PBE)

Data for a relaxed structure of TiGaPt2.

Geometry as POSCAR:
```
TiGaPt2
1.0
3.3915 0.0000 0.0000
-1.6957 2.9371 0.0000
0.0000 0.0000 20.7536
Ti Ga Pt
3 3 6
Cartesian
0.0000 0.0000 0.0000
0.0000 1.9581 13.8357
1.6958 0.9790 6.9178
0.0000 0.0000 17.3011
0.0000 1.9581 10.3832
1.6958 0.9790 3.4654
0.0000 0.0000 8.6445
0.0000 0.0000 12.0809
0.0000 1.9581 1.7266
0.0000 1.9581 5.1631
1.6958 0.9790 15.5623
1.6958 0.9790 18.9988
```

Summary:
Its volume is 206.7 Å³/cell. The value obtained for the density is 12.2 Mg/m³. The raw total energy comes out at -6.337 eV per atom. As for the formation energy: -0.586 eV per atom. As for the density of states at the Fermi level: 0.34 states/eV per atom.